Entry from the Alexandria database: an optimized crystal structure of Zn3As (PBE-GGA).

```
4
Lattice="-0.0778 -4.5463 -2.7807 3.0445 -2.3205 3.7087 -4.3741 -1.5343 2.6307" Properties=species:S:1:pos:R:3 pbc="T T T"
Zn -0.0389 -2.2732 -1.3904
Zn -2.1871 -0.7671 1.3154
Zn 1.5222 -1.1602 1.8543
As 0.0000 0.0000 0.0000
```

Summary:
Symmetry ... Pm-3m, No. 221
Final energy ... -1.58 eV per atom
Energy of formation ... 2.1 eV per formula unit



Entry from the Alexandria database: an optimized crystal structure of Zn3As2 (PBE-GGA).

```
10
Lattice="5.9480 0.0000 0.0000 0.0000 5.9480 0.0000 0.0000 0.0000 5.9480" Properties=species:S:1:pos:R:3 pbc="T T T"
As 4.4610 4.4610 1.4870
As 4.4610 1.4870 4.4610
As 1.4870 1.4870 1.4870
As 1.4870 4.4610 4.4610
Zn 0.0000 2.9740 2.9740
Zn 0.0000 2.9740 0.0000
Zn 2.9740 0.0000 0.0000
Zn 2.9740 2.9740 0.0000
Zn 2.9740 0.0000 2.9740
Zn 0.0000 0.0000 2.9740
```

Summary:
Symmetry ... Pn-3m, No. 224
Final energy ... -2.61 eV per atom
Energy of formation ... 0.1 eV per formula unit



Entry from the Alexandria database: an optimized crystal structure of Zn3As (PBE-GGA).

```
4
Lattice="2.8453 0.0560 0.0000 -0.0555 2.8453 0.0000 0.0000 0.0000 8.2059" Properties=species:S:1:pos:R:3 pbc="T T T"
Zn 1.3949 1.4506 5.9747
Zn 0.0000 0.0000 4.1029
Zn 1.3949 1.4506 2.2312
As 0.0000 0.0000 0.0000
```

Summary:
Symmetry ... P4/mmm, No. 123
Final energy ... -1.97 eV per atom
Energy of formation ... 0.6 eV per formula unit



Entry from the Alexandria database: an optimized crystal structure of ZnAs (PBE-GGA).

```
4
Lattice="3.4152 0.0000 0.0000 0.0000 3.4152 0.0000 0.0000 0.0000 7.0839" Properties=species:S:1:pos:R:3 pbc="T T T"
As 0.0000 0.0000 1.3583
As 1.7076 1.7076 0.4127
Zn 1.7076 1.7076 4.9521
Zn 0.0000 0.0000 3.9028
```

Summary:
Symmetry ... P4/nmm, No. 129
Final energy ... -2.84 eV per atom
Energy of formation ... 0.2 eV per formula unit



Entry from the Alexandria database: an optimized crystal structure of Zn3As (PBE-GGA).

```
4
Lattice="3.6750 0.0000 0.0000 0.0000 3.6750 0.0000 0.0000 0.0000 5.1126" Properties=species:S:1:pos:R:3 pbc="T T T"
Zn 0.0000 0.0000 2.5563
Zn 1.8375 1.8375 1.2783
Zn 1.8375 1.8375 3.8343
As 0.0000 0.0000 0.0000
```

Summary:
Symmetry ... P4/mmm, No. 123
Final energy ... -2.00 eV per atom
Energy of formation ... 0.5 eV per formula unit



Entry from the Alexandria database: an optimized crystal structure of ZnAs (PBE-GGA).

```
4
Lattice="2.9256 0.0000 -0.0098 0.0000 6.8187 0.0000 -2.9106 0.0000 4.2358" Properties=species:S:1:pos:R:3 pbc="T T T"
As 0.0075 2.6914 2.1130
As 1.4628 6.1007 -0.0049
Zn 0.0000 3.9736 0.0000
Zn -1.4553 0.5642 2.1179
```

Summary:
Symmetry ... Imm2, No. 44
Final energy ... -3.05 eV per atom
Energy of formation ... -0.2 eV per formula unit



Entry from the Alexandria database: an optimized crystal structure of ZnAs (PBE-GGA).

```
2
Lattice="-2.2101 3.0593 1.3957 -3.8612 -0.5854 0.9696 -1.1373 0.0640 3.8593" Properties=species:S:1:pos:R:3 pbc="T T T"
As 0.0000 0.0000 0.0000
Zn -5.4064 1.9034 4.6684
```

Summary:
Symmetry ... F-43m, No. 216
Final energy ... -2.89 eV per atom
Energy of formation ... 0.1 eV per formula unit



Entry from the Alexandria database: an optimized crystal structure of ZnAs (PBE-GGA).

```
2
Lattice="-2.8712 -0.1276 -0.5610 1.9222 -1.0072 -1.9662 -0.2030 -4.3471 2.0283" Properties=species:S:1:pos:R:3 pbc="T T T"
Zn -1.3750 -2.5944 -0.0152
As 0.0000 0.0000 0.0000
```

Summary:
Symmetry ... P-6m2, No. 187
Final energy ... -2.70 eV per atom
Energy of formation ... 0.5 eV per formula unit



Entry from the Alexandria database: an optimized crystal structure of ZnAs3 (PBE-GGA).

```
4
Lattice="9.7217 -0.1173 -0.0686 9.2971 2.8440 -0.0686 9.2971 1.3329 2.5132" Properties=species:S:1:pos:R:3 pbc="T T T"
As 21.0687 3.0206 1.7679
As 14.1580 2.0298 1.1880
As 7.2472 1.0390 0.6081
Zn 0.0000 0.0000 0.0000
```

Summary:
Symmetry ... R-3m, No. 166
Final energy ... -3.45 eV per atom
Energy of formation ... 1.4 eV per formula unit
Distance to the lowest polymorph of the same formula ... 305 meV/atom



Entry from the Alexandria database: an optimized crystal structure of ZnAs4 (PBE-GGA).

```
5
Lattice="-3.8647 3.8647 1.9211 3.8647 -3.8647 1.9211 3.8647 3.8647 -1.9211" Properties=species:S:1:pos:R:3 pbc="T T T"
As 4.6245 2.1810 0.0000
As 1.6837 0.7598 1.9211
As 2.1810 3.1048 0.0000
As -0.7598 1.6837 1.9211
Zn 0.0000 0.0000 0.0000
```

Summary:
Symmetry ... I4/m, No. 87
Final energy ... -3.72 eV per atom
Energy of formation ... 1.3 eV per formula unit
Distance to the lowest polymorph of the same formula ... 0 meV/atom



Entry from the Alexandria database: an optimized crystal structure of Zn5As (PBE-GGA).

```
6
Lattice="-3.3395 2.0930 -1.0286 -2.0151 -1.7706 2.9394 2.6149 5.2976 2.2900" Properties=species:S:1:pos:R:3 pbc="T T T"
Zn -2.6773 0.1612 0.9554
Zn -1.1143 2.5714 0.7850
Zn -1.6255 3.0486 3.4158
Zn -0.4559 0.6291 2.7602
Zn 1.0556 2.8978 2.4693
As 0.0000 0.0000 0.0000
```

Summary:
Symmetry ... Cmmm, No. 65
Final energy ... -1.75 eV per atom
Energy of formation ... 0.5 eV per formula unit
Distance to the lowest polymorph of the same formula ... 11 meV/atom



Entry from the Alexandria database: an optimized crystal structure of Zn5As3 (PBE-GGA).

```
16
Lattice="-1.6901 -1.3761 -7.7530 -5.8038 -0.5881 5.5525 -1.1581 5.1620 -0.6638" Properties=species:S:1:pos:R:3 pbc="T T T"
As -2.7841 0.6367 -0.8985
As -4.1614 0.8982 3.5382
As -1.4312 3.4135 -3.0786
As -1.4171 0.3725 -5.3382
As -5.8680 2.5611 -1.9659
As -2.8005 3.6758 1.3504
Zn -2.1519 1.1018 1.6158
Zn -3.6404 1.4676 -3.6497
Zn -0.8319 0.8489 -2.6538
Zn -4.8100 3.4721 3.2729
Zn -2.0164 2.9370 -5.7630
Zn -3.0614 -1.1135 -3.3179
Zn -5.0116 1.7302 0.7854
Zn -4.4326 -0.8508 1.1173
Zn -5.3787 -0.0434 -1.6604
Zn -3.2733 3.2412 -1.2040
```

Summary:
Symmetry ... P6_3/mcm, No. 193
Final energy ... -2.40 eV per atom
Energy of formation ... 1.1 eV per formula unit
Distance to the lowest polymorph of the same formula ... 155 meV/atom